VASP calculation (GGA-PBE) on a relaxed structure of GaNi2HPd.

Geometry as extended XYZ:
```
5
Lattice="3.6155 0.0000 0.0000 0.0000 3.6155 0.0000 0.0000 0.0000 4.0945" Properties=species:S:1:pos:R:3 pbc="T T T"
Ga 0.0000 0.0000 0.0000
Ni 0.0000 1.8077 2.0473
Ni 1.8077 0.0000 2.0473
H 0.0000 0.0000 2.0473
Pd 1.8077 1.8077 0.0000
```

Results
As for the symmetry: P4/mmm. The energy is -24.03 eV per cell.